# 1
First-principles (PBE-GGA) data for a geometry-optimized BeGe2B structure, as listed in the Alexandria database.

abc: 5.958 5.958 5.958
angles: 90.00 90.00 90.00
Space group Fm-3m (No. 225)
Unique sites:
Be  0.000  0.000  0.000 (multiplicity 4)
Ge  0.250  0.250  0.250 (multiplicity 8)
B  0.000  0.000  0.500 (multiplicity 4)

## Properties
uncorrected energy = -3.890 eV/atom
ΔH_f (0 K) = 23.5 kcal/mol of atoms
crystal system = cubic
excess energy over the best structure of this formula in the dataset = 436.5 meV per atom
M_tot = 0.0 μB/cell


# 2
First-principles (PBE-GGA) data for a geometry-optimized LiMn2BeW structure, as listed in the Alexandria database.

abc: 3.983 3.983 3.606
angles: 90.00 90.00 90.00
Space group P4/mmm (No. 123)
Unique sites:
Li  0.000  0.000  0.000 (multiplicity 1)
Mn  0.000  0.500  0.000 (multiplicity 2)
Be  0.000  0.000  0.500 (multiplicity 1)
W  0.500  0.500  0.500 (multiplicity 1)

## Properties
uncorrected energy = -6.457 eV/atom
ΔH_f (0 K) = 21.4 kcal/mol of atoms
crystal system = tetragonal
M_tot = 2.1 μB/cell


What did the second record say?
First-principles (PBE-GGA) data for a geometry-optimized LiMn2BeW structure, as listed in the Alexandria database.

abc: 3.983 3.983 3.606
angles: 90.00 90.00 90.00
Space group P4/mmm (No. 123)
Unique sites:
Li  0.000  0.000  0.000 (multiplicity 1)
Mn  0.000  0.500  0.000 (multiplicity 2)
Be  0.000  0.000  0.500 (multiplicity 1)
W  0.500  0.500  0.500 (multiplicity 1)

## Properties
uncorrected energy = -6.457 eV/atom
ΔH_f (0 K) = 21.4 kcal/mol of atoms
crystal system = tetragonal
M_tot = 2.1 μB/cell